# NdDy6Sc4, relaxed, DFT PBE
# E above lowest polymorph = 2.18 eV/f.u.
# Spin magnetization = 0.003 μB per cell
data_NdDy6Sc4
_chemical_formula_sum 'Nd1 Dy6 Sc4'
_space_group_name_H-M_alt 'P -6 m 2'
_space_group_IT_number 187
_space_group_name_Hall 'P -6 2'
_cell_length_a 8.7010
_cell_length_b 8.7010
_cell_length_c 5.2478
_cell_angle_alpha 90.00
_cell_angle_beta 90.00
_cell_angle_gamma 120.00
loop_
_atom_site_label
_atom_site_type_symbol
_atom_site_fract_x
_atom_site_fract_y
_atom_site_fract_z
Nd1 Nd 0.0000 0.0000 0.0000
Dy1 Dy 0.2006 0.4013 0.5000
Dy2 Dy 0.5334 0.0669 0.0000
Sc1 Sc 0.3333 0.6667 0.0000
Sc2 Sc 0.4273 0.2137 0.5000